[1]
An optimized crystal structure of Zr3MnGa3, computed with GGA-PBE.

Summary:
The energy of formation is -0.48 eV/atom. The total magnetic moment comes out at 2.47 μB per formula unit. The calculation puts the raw total energy at -6.75 eV per atom.

a b c (Å): 3.9910 5.5165 12.8312
angles (deg): 83.64 81.05 68.79
Closest atoms and distances in Å follow each position.
Fractional coordinates of all 14 atoms:
Zr 0.5191 0.3380 0.6238  6 Ga 2.81-2.94, 3 Mn 2.93-3.01
Zr 0.4809 0.6620 0.3762  6 Ga 2.81-2.94, 3 Mn 2.93-3.01
Zr 0.2607 0.2480 0.2306  6 Ga 2.86-3.00, 2 Mn 2.95
Zr 0.7393 0.7520 0.7694  6 Ga 2.86-3.00, 2 Mn 2.95
Zr 0.3908 0.2942 0.9243  7 Ga 2.82-3.07
Zr 0.6092 0.7058 0.0757  7 Ga 2.82-3.07
Mn 0.7664 0.0756 0.3916  4 Ga 2.43-2.57
Mn 0.2336 0.9244 0.6084  4 Ga 2.43-2.57
Ga 0.8688 0.7198 0.5426  3 Mn 2.43-2.57, 1 Ga 2.56
Ga 0.1312 0.2802 0.4574  3 Mn 2.43-2.57, 1 Ga 2.56
Ga 0.1168 0.8418 0.9246  2 Ga 2.55-2.58, 3 Zr 2.82-2.83
Ga 0.8832 0.1582 0.0754  2 Ga 2.55-2.58, 3 Zr 2.82-2.83
Ga 0.9794 0.8127 0.2285  1 Mn 2.54, 1 Ga 2.55, 2 Zr 2.81
Ga 0.0206 0.1873 0.7715  1 Mn 2.54, 1 Ga 2.55, 2 Zr 2.81



[2]
An optimized crystal structure of LaSc2Hg, computed with GGA-PBE.

Summary:
The energy of formation is -0.18 eV/atom. The total magnetic moment comes out at 1.02 μB per formula unit. The calculation puts the raw total energy at -4.65 eV per atom.

a b c (Å): 3.5078 3.5078 8.6988
angles (deg): 90.00 90.00 90.00
Closest atoms and distances in Å follow each position.
Fractional coordinates of all 4 atoms:
Sc 0.0000 0.0000 0.0345  8 Sc 3.21-3.51
Sc 0.5000 0.5000 0.2685  4 Hg 3.00, 4 Sc 3.21
Hg 0.0000 0.0000 0.4623  4 Sc 3.00
La 0.5000 0.5000 0.7346  4 Hg 3.43, 4 La 3.51, 4 Sc 3.60



[3]
An optimized crystal structure of DyPuThMg, computed with GGA-PBE.

Summary:
The energy of formation is 0.23 eV/atom. The total magnetic moment comes out at 6.86 μB per formula unit. The calculation puts the raw total energy at -6.76 eV per atom.

a b c (Å): 5.4644 5.4644 5.4644
angles (deg): 60.00 60.00 60.00
Closest atoms and distances in Å follow each position.
Fractional coordinates of all 4 atoms:
Mg 0.0000 0.0000 0.0000  4 Pu 3.35, 4 Dy 3.35
Dy 0.7500 0.7500 0.7500  4 Th 3.35, 4 Mg 3.35
Th 0.5000 0.5000 0.5000  4 Dy 3.35, 4 Pu 3.35
Pu 0.2500 0.2500 0.2500  4 Th 3.35, 4 Mg 3.35